(1)
Crystalline NaSr2LiAg at its relaxed geometry, computed with PBE-GGA.

Cell: 6.244 6.244 5.128 Å, 90.00 90.00 90.00°
Fractional coordinates of all 5 atoms:
1 Na 0.500 0.500 0.500
2 Sr 0.500 0.000 0.000
3 Sr 0.000 0.500 0.000
4 Ag 0.000 0.000 0.000
5 Li 0.000 0.000 0.500

Properties
Its density is 2.60 g cm⁻³. For the formation energy, the calculation gives -0.03 eV per atom. Its calculated volume is 39.982 A^3/atom. The symmetry is P4/mmm (123). Its total energy is -9.60 eV/f.u. The energy above the most stable polymorph in this dataset is 0 meV per atom.

(2)
Crystalline NaSr2Li12Ag3 at its relaxed geometry, computed with PBE-GGA.

Cell: 7.428 7.428 7.428 Å, 84.22 84.22 84.22°
Fractional coordinates of all 18 atoms:
1 Li 0.286 0.806 0.806
2 Li 0.714 0.194 0.194
3 Li 0.414 0.852 0.414
4 Li 0.806 0.286 0.806
5 Li 0.194 0.194 0.714
6 Li 0.806 0.806 0.286
7 Li 0.586 0.148 0.586
8 Li 0.148 0.586 0.586
9 Li 0.194 0.714 0.194
10 Li 0.586 0.586 0.148
11 Li 0.414 0.414 0.852
12 Li 0.852 0.414 0.414
13 Ag 0.000 0.500 0.000
14 Ag 0.000 0.000 0.500
15 Ag 0.500 0.000 0.000
16 Na 0.000 0.000 0.000
17 Sr 0.745 0.745 0.745
18 Sr 0.255 0.255 0.255

Properties
Its density is 2.49 g cm⁻³. For the formation energy, the calculation gives 0.00 eV per atom. Its calculated volume is 22.447 A^3/atom. The symmetry is R-3m (166). Its total energy is -36.17 eV/f.u.

(3)
Crystalline NaSrLi2Ag at its relaxed geometry, computed with PBE-GGA.

Cell: 5.294 5.294 6.051 Å, 90.00 90.00 90.00°
Fractional coordinates of all 5 atoms:
1 Sr 0.000 0.000 0.500
2 Ag 0.000 0.000 0.000
3 Na 0.500 0.500 0.500
4 Li 0.000 0.500 0.000
5 Li 0.500 0.000 0.000

Properties
Its density is 2.28 g cm⁻³. For the formation energy, the calculation gives 0.06 eV per atom. Its calculated volume is 33.917 A^3/atom. The symmetry is P4/mmm (123). Its total energy is -9.37 eV/f.u. The energy above the most stable polymorph in this dataset is 14 meV per atom.

(4)
Crystalline NaLiTbAg at its relaxed geometry, computed with PBE-GGA.

Cell: 5.124 5.124 5.124 Å, 60.00 60.00 60.00°
Fractional coordinates of all 4 atoms:
1 Na 0.500 0.500 0.500
2 Tb 0.000 0.000 0.000
3 Li 0.750 0.750 0.750
4 Ag 0.250 0.250 0.250

Properties
Its density is 5.18 g cm⁻³. For the formation energy, the calculation gives 0.07 eV per atom. Its calculated volume is 23.786 A^3/atom. The symmetry is F-43m (216). Its total energy is -10.45 eV/f.u.

(5)
Crystalline NaLi2Tl2Ag2 at its relaxed geometry, computed with PBE-GGA.

Cell: 4.861 4.841 7.712 Å, 109.19 90.00 120.14°
Fractional coordinates of all 7 atoms:
1 Ag 0.143 0.286 0.427
2 Ag 0.857 0.714 0.573
3 Li 0.733 0.466 0.194
4 Li 0.267 0.534 0.806
5 Tl 0.574 0.148 0.728
6 Tl 0.426 0.852 0.272
7 Na 0.000 0.000 0.000

Properties
Its density is 7.57 g cm⁻³. For the formation energy, the calculation gives -0.11 eV per atom. Its calculated volume is 20.736 A^3/atom. The symmetry is C2/m (12). Its total energy is -16.32 eV/f.u.

(6)
Crystalline Na2LiZn2Ag5 at its relaxed geometry, computed with PBE-GGA.

Cell: 3.359 10.730 10.730 Å, 90.00 90.00 90.00°
Fractional coordinates of all 20 atoms:
1 Li 0.000 0.000 0.000
2 Li 0.000 0.500 0.500
3 Na 0.000 0.826 0.674
4 Na 0.000 0.674 0.174
5 Na 0.000 0.326 0.826
6 Na 0.000 0.174 0.326
7 Ag 0.500 0.555 0.690
8 Ag 0.500 0.445 0.310
9 Ag 0.500 0.310 0.555
10 Ag 0.500 0.945 0.190
11 Ag 0.500 0.810 0.945
12 Ag 0.500 0.690 0.445
13 Ag 0.500 0.000 0.500
14 Ag 0.500 0.500 0.000
15 Ag 0.500 0.190 0.055
16 Ag 0.500 0.055 0.810
17 Zn 0.000 0.132 0.632
18 Zn 0.000 0.368 0.132
19 Zn 0.000 0.632 0.868
20 Zn 0.000 0.868 0.368

Properties
Its density is 6.21 g cm⁻³. For the formation energy, the calculation gives -0.04 eV per atom. Its calculated volume is 19.337 A^3/atom. The symmetry is P4/mbm (127). Its total energy is -21.76 eV/f.u.

(7)
Crystalline NaLiZnAg at its relaxed geometry, computed with PBE-GGA.

Cell: 4.707 4.707 4.707 Å, 60.00 60.00 60.00°
Fractional coordinates of all 4 atoms:
1 Ag 0.250 0.250 0.250
2 Na 0.750 0.750 0.750
3 Li 0.000 0.000 0.000
4 Zn 0.500 0.500 0.500

Properties
Its density is 4.58 g cm⁻³. For the formation energy, the calculation gives -0.05 eV per atom. Its calculated volume is 18.438 A^3/atom. The symmetry is F-43m (216). Its total energy is -7.57 eV/f.u.

(8)
Crystalline NaLiZrAg2 at its relaxed geometry, computed with PBE-GGA.

Cell: 4.977 5.306 4.977 Å, 90.00 90.00 90.00°
Fractional coordinates of all 5 atoms:
1 Ag 0.000 0.000 0.500
2 Ag 0.500 0.000 0.000
3 Li 0.500 0.500 0.500
4 Na 0.000 0.000 0.000
5 Zr 0.000 0.500 0.000

Properties
Its density is 4.26 g cm⁻³. For the formation energy, the calculation gives 1.06 eV per atom. Its calculated volume is 26.286 A^3/atom. The symmetry is P4/mmm (123). Its total energy is -12.16 eV/f.u.

What is the density in the eighth record? 4.26 g cm⁻³

Which value of density does entry 4 give? 5.18 g cm⁻³